Record 1
Computed, not measured: a geometry-optimized LiCoOF2 structure at the GGA-PBEsol level of DFT.

Geometry as CIF:
```
data_LiCoOF2
_space_group_name_H-M_alt 'P 4/m m m'
_space_group_IT_number 123
_space_group_name_Hall '-P 4 2'
_cell_length_a 3.939
_cell_length_b 3.939
_cell_length_c 3.524
_cell_angle_alpha 90.00
_cell_angle_beta 90.00
_cell_angle_gamma 90.00
loop_
_atom_site_label
_atom_site_fract_x
_atom_site_fract_y
_atom_site_fract_z
Li1 0.000 0.000 0.000
Co1 0.500 0.500 0.500
O1 0.500 0.500 0.000
F1 0.000 0.500 0.500
```

- ΔE_f (raw): -1.67 eV per atom

Record 2
Computed, not measured: a geometry-optimized LiCa2Os structure at the GGA-PBEsol level of DFT.

Geometry as CIF:
```
data_LiCa2Os
_space_group_name_H-M_alt 'P 4 m m'
_space_group_IT_number 99
_cell_length_a 3.410
_cell_length_b 3.410
_cell_length_c 7.767
_cell_angle_alpha 90.00
_cell_angle_beta 90.00
_cell_angle_gamma 90.00
loop_
_space_group_symop_operation_xyz
'x,y,z'
'-y,x,z'
'-x,-y,z'
'y,-x,z'
'-x,y,z'
'y,x,z'
'x,-y,z'
'-y,-x,z'
loop_
_atom_site_label
_atom_site_fract_x
_atom_site_fract_y
_atom_site_fract_z
Li1 0.000 0.000 0.000
Ca1 0.000 0.000 0.346
Ca2 0.500 0.500 0.761
Os1 0.500 0.500 0.117
```

- Energy relative to the elements: 1.9 eV/f.u.

Record 3
Computed, not measured: a geometry-optimized Hf2Rh2Au structure at the GGA-PBEsol level of DFT.

Geometry as CIF:
```
data_Hf2Rh2Au
_space_group_name_H-M_alt 'P 4/m b m'
_space_group_IT_number 127
_space_group_name_Hall '-P 4 2ab'
_cell_length_a 7.335
_cell_length_b 7.335
_cell_length_c 3.185
_cell_angle_alpha 90.00
_cell_angle_beta 90.00
_cell_angle_gamma 90.00
loop_
_atom_site_label
_atom_site_fract_x
_atom_site_fract_y
_atom_site_fract_z
Hf1 0.165 0.335 0.000
Rh1 0.136 0.636 0.500
Au1 0.000 0.000 0.500
```

- Energy relative to the elements: -3.7 eV/f.u.

Record 4
Computed, not measured: a geometry-optimized PrRh structure at the GGA-PBEsol level of DFT.

Geometry as CIF:
```
data_PrRh
_space_group_name_H-M_alt 'C m c m'
_space_group_IT_number 63
_space_group_name_Hall '-C 2c 2'
_cell_length_a 3.941
_cell_length_b 10.958
_cell_length_c 4.145
_cell_angle_alpha 90.00
_cell_angle_beta 90.00
_cell_angle_gamma 90.00
loop_
_atom_site_label
_atom_site_fract_x
_atom_site_fract_y
_atom_site_fract_z
Pr1 0.000 0.142 0.250
Rh1 0.000 0.416 0.250
```

- Energy relative to the elements: -1.2 eV/f.u.

Record 5
Computed, not measured: a geometry-optimized BeReRh structure at the GGA-PBEsol level of DFT.

Geometry as CIF:
```
data_BeReRh
_space_group_name_H-M_alt 'F -4 3 m'
_space_group_IT_number 216
_space_group_name_Hall 'F -4 2 3'
_cell_length_a 5.377
_cell_length_b 5.377
_cell_length_c 5.377
_cell_angle_alpha 90.00
_cell_angle_beta 90.00
_cell_angle_gamma 90.00
loop_
_atom_site_label
_atom_site_fract_x
_atom_site_fract_y
_atom_site_fract_z
Be1 0.000 0.000 0.000
Re1 0.250 0.250 0.750
Rh1 0.250 0.250 0.250
```

- Energy relative to the elements: 1.6 eV/f.u.

Record 6
Computed, not measured: a geometry-optimized ReAsW structure at the GGA-PBEsol level of DFT.

Geometry as CIF:
```
data_ReAsW
_space_group_name_H-M_alt 'F -4 3 m'
_space_group_IT_number 216
_space_group_name_Hall 'F -4 2 3'
_cell_length_a 5.923
_cell_length_b 5.923
_cell_length_c 5.923
_cell_angle_alpha 90.00
_cell_angle_beta 90.00
_cell_angle_gamma 90.00
loop_
_atom_site_label
_atom_site_fract_x
_atom_site_fract_y
_atom_site_fract_z
Re1 0.000 0.000 0.000
As1 0.250 0.250 0.250
W1 0.250 0.250 0.750
```

- Energy relative to the elements: 0.9 eV/f.u.
- Relative energy among the computed polymorphs: 0.0 meV/atom

Record 7
Computed, not measured: a geometry-optimized ZnFe2PPt structure at the GGA-PBEsol level of DFT.

Geometry as CIF:
```
data_ZnFe2PPt
_space_group_name_H-M_alt 'P 4/m m m'
_space_group_IT_number 123
_space_group_name_Hall '-P 4 2'
_cell_length_a 4.625
_cell_length_b 4.625
_cell_length_c 4.622
_cell_angle_alpha 90.00
_cell_angle_beta 90.00
_cell_angle_gamma 90.00
loop_
_atom_site_label
_atom_site_fract_x
_atom_site_fract_y
_atom_site_fract_z
Zn1 0.000 0.000 0.000
Fe1 0.000 0.500 0.500
P1 0.500 0.500 0.000
Pt1 0.000 0.000 0.500
```

- Energy relative to the elements: 5.7 eV/f.u.

Record 8
Computed, not measured: a geometry-optimized MnIrOs2 structure at the GGA-PBEsol level of DFT.

Geometry as CIF:
```
data_MnIrOs2
_space_group_name_H-M_alt 'R 3 m'
_space_group_IT_number 160
_space_group_name_Hall 'R 3 -2"'
_cell_length_a 2.6707
_cell_length_b 2.6707
_cell_length_c 25.7905
_cell_angle_alpha 90.00
_cell_angle_beta 90.00
_cell_angle_gamma 120.00
loop_
_atom_site_label
_atom_site_fract_x
_atom_site_fract_y
_atom_site_fract_z
Mn1 0.0000 0.0000 0.0000
Ir1 0.0000 0.0000 0.7469
Os1 0.0000 0.0000 0.2540
Os2 0.0000 0.0000 0.5013
```

- Energy relative to the elements: 0.4 eV/f.u.
- Relative energy among the computed polymorphs: 75.6 meV/atom

Record 9
Computed, not measured: a geometry-optimized OsPt4 structure at the GGA-PBEsol level of DFT.

Geometry as CIF:
```
data_OsPt4
_space_group_name_H-M_alt 'I 4/m'
_space_group_IT_number 87
_space_group_name_Hall '-I 4'
_cell_length_a 6.154
_cell_length_b 6.154
_cell_length_c 3.885
_cell_angle_alpha 90.00
_cell_angle_beta 90.00
_cell_angle_gamma 90.00
loop_
_atom_site_label
_atom_site_fract_x
_atom_site_fract_y
_atom_site_fract_z
Os1 0.000 0.000 0.000
Pt1 0.103 0.703 0.500
```

- Energy relative to the elements: 0.3 eV/f.u.
- Relative energy among the computed polymorphs: 20.6 meV/atom

Record 10
Computed, not measured: a geometry-optimized Al2SnPd2 structure at the GGA-PBEsol level of DFT.

Geometry as CIF:
```
data_Al2SnPd2
_space_group_name_H-M_alt 'I 4/m m m'
_space_group_IT_number 139
_space_group_name_Hall '-I 4 2'
_cell_length_a 3.785
_cell_length_b 3.785
_cell_length_c 12.132
_cell_angle_alpha 90.00
_cell_angle_beta 90.00
_cell_angle_gamma 90.00
loop_
_atom_site_label
_atom_site_fract_x
_atom_site_fract_y
_atom_site_fract_z
Al1 0.000 0.500 0.250
Sn1 0.000 0.000 0.000
Pd1 0.000 0.000 0.385
```

- Energy relative to the elements: -2.6 eV/f.u.

Record 11
Computed, not measured: a geometry-optimized GdS structure at the GGA-PBEsol level of DFT.

Geometry as CIF:
```
data_GdS
_space_group_name_H-M_alt 'F m -3 m'
_space_group_IT_number 225
_space_group_name_Hall '-F 4 2 3'
_cell_length_a 5.515
_cell_length_b 5.515
_cell_length_c 5.515
_cell_angle_alpha 90.00
_cell_angle_beta 90.00
_cell_angle_gamma 90.00
loop_
_atom_site_label
_atom_site_fract_x
_atom_site_fract_y
_atom_site_fract_z
Gd1 0.000 0.000 0.000
S1 0.000 0.000 0.500
```

- ΔE_f (raw): -2.18 eV per atom

Record 12
Computed, not measured: a geometry-optimized As2PtIBr structure at the GGA-PBEsol level of DFT.

Geometry as CIF:
```
data_As2PtIBr
_space_group_name_H-M_alt 'P 4/m m m'
_space_group_IT_number 123
_space_group_name_Hall '-P 4 2'
_cell_length_a 4.921
_cell_length_b 4.921
_cell_length_c 5.067
_cell_angle_alpha 90.00
_cell_angle_beta 90.00
_cell_angle_gamma 90.00
loop_
_atom_site_label
_atom_site_fract_x
_atom_site_fract_y
_atom_site_fract_z
As1 0.000 0.500 0.000
Pt1 0.000 0.000 0.000
I1 0.500 0.500 0.500
Br1 0.000 0.000 0.500
```

- ΔE_f (raw): 0.37 eV per atom